[1]
First-principles (PBE-GGA) data for a relaxed KIn2Se crystal, as listed in Alexandria.

Calculated values
The formation energy without anion corrections is -0.205 eV/atom.

Lattice parameters (Å, degrees): 7.770 7.770 7.770 90.00 90.00 90.00
Space group F-43m (No. 216)
Symmetry-distinct sites (fractional):
K 0.000 0.000 0.000 [4 per cell]
In 0.000 0.000 0.500 [4 per cell]
In 0.250 0.250 0.750 [4 per cell]
Se 0.250 0.250 0.250 [4 per cell]

***

[2]
First-principles (PBE-GGA) data for a relaxed SrCa2Cl crystal, as listed in Alexandria.

Calculated values
As for the distance to the lowest polymorph of the same formula: 1.31 eV per formula unit. The formation energy without anion corrections is -0.463 eV/atom.

Lattice parameters (Å, degrees): 4.787 4.787 13.989 90.00 90.00 90.00
Space group I4/mmm (No. 139)
Symmetry-distinct sites (fractional):
Sr 0.000 0.000 0.000 [2 per cell]
Ca 0.000 0.500 0.250 [4 per cell]
Cl 0.000 0.000 0.500 [2 per cell]

***

[3]
First-principles (PBE-GGA) data for a relaxed Na2SiGeO4 crystal, as listed in Alexandria.

Calculated values
The formation energy without anion corrections is -1.896 eV/atom.

Lattice parameters (Å, degrees): 5.153 5.153 8.681 90.00 90.00 90.00
Space group I-4 (No. 82)
Symmetry-distinct sites (fractional):
Na 0.000 0.000 0.000 [2 per cell]
Na 0.000 0.500 0.250 [2 per cell]
Si 0.000 0.500 0.750 [2 per cell]
Ge 0.000 0.000 0.500 [2 per cell]
O 0.181 0.698 0.643 [8 per cell]

***

[4]
First-principles (PBE-GGA) data for a relaxed LuZrScTc crystal, as listed in Alexandria.

Calculated values
The formation energy comes out at -16 meV/atom.

Lattice parameters (Å, degrees): 6.945 6.945 6.945 90.00 90.00 90.00
Space group F-43m (No. 216)
Symmetry-distinct sites (fractional):
Lu 0.000 0.000 0.000 [4 per cell]
Zr 0.000 0.000 0.500 [4 per cell]
Sc 0.250 0.250 0.750 [4 per cell]
Tc 0.250 0.250 0.250 [4 per cell]

***

Number 1: E -43.51 eV per cell. Number 2: E -18.77 eV per cell. Number 3: E -95.35 eV per cell. Number 4: E -119.32 eV per cell.